Material: Ba2Np3CoO12
Method: DFT, PBE+U
State: relaxed

a b c (Å): 7.2682 7.2682 7.2682
angles (deg): 65.12 65.12 65.12
With the nearest neighbours (Å) after each atom.
Fractional coordinates of all 18 atoms:
Ba  0.6571  0.6571  0.6571  6 O 2.83-3.15
Ba  0.3429  0.3429  0.3429  6 O 2.83-3.15
Np  0.5000  0.0000  0.0000  2 O 1.94
Np  0.0000  0.5000  0.0000  2 O 1.94
Np  0.0000  0.0000  0.5000  2 O 1.94
Co  0.0000  0.0000  0.0000  6 O 1.90
O  0.3385  0.3385  0.9568  2 Np 2.18
O  0.9416  0.9416  0.2958  1 Co 1.90, 1 Np 1.94
O  0.2958  0.9416  0.9416  1 Co 1.90, 1 Np 1.94
O  0.9568  0.3385  0.3385  2 Np 2.18
O  0.9416  0.2958  0.9416  1 Co 1.90, 1 Np 1.94
O  0.3385  0.9568  0.3385  2 Np 2.18
O  0.6615  0.6615  0.0432  2 Np 2.18
O  0.0584  0.0584  0.7042  1 Co 1.90, 1 Np 1.94
O  0.7042  0.0584  0.0584  1 Co 1.90, 1 Np 1.94
O  0.0432  0.6615  0.6615  2 Np 2.18
O  0.0584  0.7042  0.0584  1 Co 1.90, 1 Np 1.94
O  0.6615  0.0432  0.6615  2 Np 2.18

Values from the calculation:
VASP energy, eV per atom: -8.51